No. 1
Nb2AlB2Os5: optimized geometry, PBE.

Output
Volume   13.25 A^3/atom
Energy relative to the elements   -420 meV per atom

a = 2.985 Å, b = 9.421 Å, c = 9.421 Å
α = 90.00°, β = 90.00°, γ = 90.00°
Fractional coordinates of all 20 atoms:
Nb 0.000 0.678 0.178
Nb 0.000 0.322 0.822
Nb 0.000 0.178 0.322
Nb 0.000 0.822 0.678
Al 0.000 0.000 0.000
Al 0.000 0.500 0.500
B 0.000 0.125 0.625
B 0.000 0.875 0.375
B 0.000 0.625 0.875
B 0.000 0.375 0.125
Os 0.500 0.215 0.067
Os 0.500 0.785 0.933
Os 0.500 0.067 0.785
Os 0.500 0.715 0.433
Os 0.500 0.933 0.215
Os 0.500 0.285 0.567
Os 0.500 0.567 0.715
Os 0.500 0.433 0.285
Os 0.500 0.500 0.000
Os 0.500 0.000 0.500



No. 2
Li2In2SnHg5: optimized geometry, PBE.

Output
Volume   24.48 A^3/atom
Energy relative to the elements   -84 meV per atom

a = 3.396 Å, b = 12.007 Å, c = 12.007 Å
α = 90.00°, β = 90.00°, γ = 90.00°
Fractional coordinates of all 20 atoms:
Li 0.000 0.129 0.629
Li 0.000 0.871 0.371
Li 0.000 0.629 0.871
Li 0.000 0.371 0.129
In 0.000 0.674 0.174
In 0.000 0.326 0.826
In 0.000 0.174 0.326
In 0.000 0.826 0.674
Sn 0.000 0.000 0.000
Sn 0.000 0.500 0.500
Hg 0.500 0.211 0.053
Hg 0.500 0.789 0.947
Hg 0.500 0.053 0.789
Hg 0.500 0.711 0.447
Hg 0.500 0.947 0.211
Hg 0.500 0.289 0.553
Hg 0.500 0.553 0.711
Hg 0.500 0.447 0.289
Hg 0.500 0.500 0.000
Hg 0.500 0.000 0.500



No. 3
LaInSn2As: optimized geometry, PBE.

Output
Volume   32.16 A^3/atom
Energy relative to the elements   190 meV per atom

a = 5.502 Å, b = 5.311 Å, c = 5.502 Å
α = 90.00°, β = 90.00°, γ = 90.00°
Fractional coordinates of all 5 atoms:
As 0.000 0.500 0.000
In 0.000 0.000 0.000
Sn 0.000 0.000 0.500
Sn 0.500 0.000 0.000
La 0.500 0.500 0.500



No. 4
Sr5In2I2: optimized geometry, PBE.

Output
Volume   39.89 A^3/atom
Formation energy from raw total energies   -679 kJ/mol of formula units

a = 9.054 Å, b = 9.079 Å, c = 9.839 Å
α = 90.00°, β = 62.60°, γ = 90.00°
Fractional coordinates of all 18 atoms:
Sr 0.000 0.000 0.000
Sr 0.500 0.500 0.000
Sr 0.457 0.162 0.757
Sr 0.786 0.838 0.757
Sr 0.286 0.662 0.757
Sr 0.957 0.338 0.757
Sr 0.543 0.838 0.243
Sr 0.214 0.162 0.243
Sr 0.714 0.338 0.243
Sr 0.043 0.662 0.243
In 0.129 0.371 0.000
In 0.871 0.629 0.000
In 0.371 0.871 0.000
In 0.629 0.129 0.000
I 0.211 0.000 0.578
I 0.711 0.500 0.578
I 0.789 0.000 0.422
I 0.289 0.500 0.422



Looking at density for the records above, in order, we have 14.9 9.3 5.8 4.3 g cm⁻³.